Record 1
# TbPrSm14

A relaxed structure of TbPrSm14 (PBE-GGA, Alexandria via LeMat-Bulk).

**SG**: No. 38

abc: 7.2873 7.2873 11.7399
angles: 90.00 90.00 119.99
Closest atoms and distances in Å follow each position.
Element x y z (fractional)
Tb 0.7078 0.2922 0.5000  10 Sm 3.60-3.65, 2 Pr 3.64
Pr 0.2082 0.7918 0.5000  10 Sm 3.61-3.65, 2 Tb 3.64
Sm 0.0418 0.9582 0.0000  12 Sm 3.61-3.65
Sm 0.5422 0.4578 0.0000  12 Sm 3.60-3.65
Sm 0.2084 0.2927 0.5000  8 Sm 3.60-3.65, 2 Pr 3.64-3.65, 2 Tb 3.64-3.65
Sm 0.0416 0.4575 0.0000  12 Sm 3.60-3.65
Sm 0.7073 0.7916 0.5000  8 Sm 3.60-3.65, 2 Pr 3.64-3.65, 2 Tb 3.64-3.65
Sm 0.5425 0.9584 0.0000  12 Sm 3.60-3.65
Sm 0.3755 0.1255 0.7502  10 Sm 3.61-3.65, 1 Tb 3.61, 1 Pr 3.61
Sm 0.3755 0.1255 0.2498  10 Sm 3.61-3.65, 1 Tb 3.61, 1 Pr 3.61
Sm 0.8745 0.6245 0.7502  10 Sm 3.61-3.65, 1 Tb 3.61, 1 Pr 3.61
Sm 0.8745 0.6245 0.2498  10 Sm 3.61-3.65, 1 Tb 3.61, 1 Pr 3.61
Sm 0.3753 0.6247 0.7514  11 Sm 3.60-3.65, 1 Pr 3.63
Sm 0.3753 0.6247 0.2486  11 Sm 3.60-3.65, 1 Pr 3.63
Sm 0.8748 0.1252 0.7490  11 Sm 3.60-3.65, 1 Tb 3.60
Sm 0.8748 0.1252 0.2510  11 Sm 3.60-3.65, 1 Tb 3.60


Record 2
# Tb12Pr2Sm5

A relaxed structure of Tb12Pr2Sm5 (PBE-GGA, Alexandria via LeMat-Bulk).

**Energy above the most stable polymorph in this dataset**: 0.00 kJ/mol of atoms
**SG**: No. 2

abc: 6.7888 14.2364 14.1096
angles: 150.85 84.13 102.82
Closest atoms and distances in Å follow each position.
Element x y z (fractional)
Tb 0.9653 0.1538 0.3641  6 Tb 3.50-3.66, 3 Sm 3.64-3.87, 2 Pr 3.80-3.85
Tb 0.1533 0.5572 0.9620  4 Tb 3.04-3.39
Tb 0.6692 0.7164 0.1036  7 Tb 3.37-3.74, 3 Sm 3.39-3.50
Tb 0.0295 0.3463 0.1570  7 Tb 3.39-3.66, 2 Pr 3.51-3.66, 2 Sm 3.53-3.61
Tb 0.5670 0.4878 0.2796  7 Tb 3.32-3.63, 3 Sm 3.47-3.54, 1 Pr 3.50
Tb 0.5876 0.0086 0.7799  7 Tb 3.43-3.63, 2 Sm 3.50-3.74, 2 Pr 3.65-3.71
Tb 0.4124 0.9914 0.2201  7 Tb 3.43-3.63, 2 Sm 3.50-3.74, 2 Pr 3.65-3.71
Tb 0.9705 0.6537 0.8430  7 Tb 3.39-3.66, 2 Pr 3.51-3.66, 2 Sm 3.53-3.61
Tb 0.4330 0.5122 0.7204  7 Tb 3.32-3.63, 3 Sm 3.47-3.54, 1 Pr 3.50
Tb 0.8467 0.4428 0.0380  4 Tb 3.04-3.39
Tb 0.3308 0.2836 0.8964  7 Tb 3.37-3.74, 3 Sm 3.39-3.50
Tb 0.0347 0.8462 0.6359  6 Tb 3.50-3.66, 3 Sm 3.64-3.87, 2 Pr 3.80-3.85
Pr 0.7311 0.9225 0.9394  2 Pr 3.50-3.61, 7 Tb 3.50-3.85, 3 Sm 3.55-3.66
Pr 0.2689 0.0775 0.0606  2 Pr 3.50-3.61, 7 Tb 3.50-3.85, 3 Sm 3.55-3.66
Sm 0.2672 0.5805 0.5605  7 Tb 3.47-3.87, 2 Sm 3.47-3.67, 3 Pr 3.55-3.66
Sm 0.3906 0.7770 0.3721  7 Tb 3.39-3.79, 2 Sm 3.53-3.62
Sm 0.0000 0.0000 0.5000  4 Tb 3.42-3.73, 2 Sm 3.62
Sm 0.6094 0.2230 0.6279  7 Tb 3.39-3.79, 2 Sm 3.53-3.62
Sm 0.7328 0.4195 0.4395  7 Tb 3.47-3.87, 2 Sm 3.47-3.67, 3 Pr 3.55-3.66


Record 3
# Tb3Pr2Sm

A relaxed structure of Tb3Pr2Sm (PBE-GGA, Alexandria via LeMat-Bulk).

**Energy above the most stable polymorph in this dataset**: 7.23 kJ/mol of atoms
**SG**: No. 58

abc: 3.4211 6.7529 17.7742
angles: 90.00 90.00 90.00
Closest atoms and distances in Å follow each position.
Element x y z (fractional)
Tb 0.0000 0.0000 0.0000  2 Tb 3.42, 4 Pr 3.58, 4 Sm 3.79
Tb 0.5000 0.5000 0.5000  2 Tb 3.42, 4 Pr 3.58, 4 Sm 3.79
Tb 0.5000 0.7407 0.8241  4 Pr 3.36-3.49, 2 Tb 3.42, 1 Sm 3.52
Tb 0.5000 0.2593 0.1759  4 Pr 3.36-3.49, 2 Tb 3.42, 1 Sm 3.52
Tb 0.0000 0.2407 0.6759  4 Pr 3.36-3.49, 2 Tb 3.42, 1 Sm 3.52
Tb 0.0000 0.7593 0.3241  4 Pr 3.36-3.49, 2 Tb 3.42, 1 Sm 3.52
Pr 0.5000 0.7655 0.1528  1 Sm 3.25, 6 Tb 3.36-3.58, 2 Pr 3.42
Pr 0.0000 0.2655 0.3472  1 Sm 3.25, 6 Tb 3.36-3.58, 2 Pr 3.42
Pr 0.0000 0.7345 0.6528  1 Sm 3.25, 6 Tb 3.36-3.58, 2 Pr 3.42
Pr 0.5000 0.2345 0.8472  1 Sm 3.25, 6 Tb 3.36-3.58, 2 Pr 3.42
Sm 0.0000 0.0000 0.5000  2 Pr 3.25, 2 Sm 3.42, 2 Tb 3.52
Sm 0.5000 0.5000 0.0000  2 Pr 3.25, 2 Sm 3.42, 2 Tb 3.52


Record 4
# Tb7Pr4Sm

A relaxed structure of Tb7Pr4Sm (PBE-GGA, Alexandria via LeMat-Bulk).

**Energy above the most stable polymorph in this dataset**: 0.00 kJ/mol of atoms
**SG**: No. 2

abc: 6.9234 8.8929 9.1755
angles: 84.34 94.82 47.51
Closest atoms and distances in Å follow each position.
Element x y z (fractional)
Tb 0.7364 0.5121 0.9498  5 Tb 3.41-3.61, 4 Pr 3.42-3.73, 1 Sm 3.54
Tb 0.2636 0.4879 0.0502  5 Tb 3.41-3.61, 4 Pr 3.42-3.73, 1 Sm 3.54
Tb 0.9822 0.3189 0.6416  5 Tb 3.41-3.76, 4 Pr 3.50-3.60
Tb 0.0178 0.6811 0.3584  5 Tb 3.41-3.76, 4 Pr 3.50-3.60
Tb 0.2919 0.8120 0.6169  5 Tb 3.32-3.66, 4 Pr 3.38-3.61
Tb 0.5000 0.0000 0.0000  4 Pr 3.43-3.71, 2 Sm 3.46, 4 Tb 3.56-3.76
Tb 0.7081 0.1880 0.3831  5 Tb 3.32-3.66, 4 Pr 3.38-3.61
Pr 0.5524 0.6400 0.2836  8 Tb 3.38-3.73, 1 Sm 3.43, 2 Pr 3.56-3.59
Pr 0.4476 0.3600 0.7164  8 Tb 3.38-3.73, 1 Sm 3.43, 2 Pr 3.56-3.59
Pr 0.7748 0.8369 0.6911  7 Tb 3.43-3.75, 2 Pr 3.56-3.59
Pr 0.2252 0.1631 0.3089  7 Tb 3.43-3.75, 2 Pr 3.56-3.59
Sm 0.0000 0.0000 0.0000  2 Pr 3.43, 4 Tb 3.46-3.54


Record 5
# Tb3Pr2Sm8

A relaxed structure of Tb3Pr2Sm8 (PBE-GGA, Alexandria via LeMat-Bulk).

**Energy above the most stable polymorph in this dataset**: 19.34 kJ/mol of atoms
**SG**: No. 12

abc: 5.6745 7.7109 11.1049
angles: 110.32 90.02 90.00
Closest atoms and distances in Å follow each position.
Element x y z (fractional)
Tb 0.5000 0.0000 0.0000  4 Sm 3.13
Tb 0.0000 0.2868 0.0000  3 Tb 3.29-3.60, 6 Sm 3.49-3.57
Tb 0.0000 0.7132 0.0000  3 Tb 3.29-3.60, 6 Sm 3.49-3.57
Pr 0.4992 0.2408 0.4816  8 Sm 3.44-3.67
Pr 0.5008 0.7592 0.5184  8 Sm 3.44-3.67
Sm 0.0006 0.6658 0.3316  2 Pr 3.44, 4 Sm 3.50, 2 Tb 3.82
Sm 0.9994 0.3342 0.6684  2 Pr 3.44, 4 Sm 3.50, 2 Tb 3.82
Sm 0.9997 0.1296 0.2592  2 Tb 3.49, 4 Sm 3.66, 2 Pr 3.66-3.67
Sm 0.0003 0.8704 0.7408  2 Tb 3.49, 4 Sm 3.66, 2 Pr 3.66-3.67
Sm 0.4998 0.6037 0.7913  1 Tb 3.13, 3 Sm 3.21-3.50
Sm 0.4998 0.1875 0.7913  1 Tb 3.13, 3 Sm 3.21-3.50
Sm 0.5002 0.8125 0.2087  1 Tb 3.13, 3 Sm 3.21-3.50
Sm 0.5002 0.3963 0.2087  1 Tb 3.13, 3 Sm 3.21-3.50


Record 6
# Tb4PrSm4

A relaxed structure of Tb4PrSm4 (PBE-GGA, Alexandria via LeMat-Bulk).

**SG**: No. 139

abc: 5.0927 8.0687 8.0687
angles: 84.28 71.60 71.60
Closest atoms and distances in Å follow each position.
Element x y z (fractional)
Tb 0.6673 0.6655 0.9999  4 Tb 3.59-3.62, 6 Sm 3.60, 2 Pr 3.61
Tb 0.3327 0.3345 0.0001  4 Tb 3.59-3.62, 6 Sm 3.60, 2 Pr 3.61
Tb 0.6672 0.0001 0.6655  4 Tb 3.59-3.62, 6 Sm 3.60, 2 Pr 3.61
Tb 0.3328 0.9999 0.3345  4 Tb 3.59-3.62, 6 Sm 3.60, 2 Pr 3.61
Pr 0.0000 0.0000 0.0000  4 Sm 3.61, 8 Tb 3.61
Sm 0.6670 0.3331 0.3329  6 Tb 3.60, 1 Pr 3.61, 5 Sm 3.61-3.62
Sm 0.3330 0.6669 0.6671  6 Tb 3.60, 1 Pr 3.61, 5 Sm 3.61-3.62
Sm 0.9999 0.6671 0.3331  6 Tb 3.60, 1 Pr 3.61, 5 Sm 3.61-3.62
Sm 0.0001 0.3329 0.6669  6 Tb 3.60, 1 Pr 3.61, 5 Sm 3.61-3.62


Q: Which energy relative to the elements values were calculated for the entries above? A: 0.00; 0.09; 0.25; 0.09; 0.22; 0.02, in eV per atom.